[1]
DFT (meta-GGA SCAN) results for a PBEsol-optimized structure of MgMnAgGe2.

Computed properties:
Total magnetic moment, Bohr magnetons per cell: 1.5
Space group: P4/mmm, No. 123
Energy of formation from the pure elements, eV/atom: 0.329
ρ, g cm⁻³: 5.707

abc: 4.4698 4.4698 4.8405
angles: 90.00 90.00 90.00
Last column: nearest neighbours and their distance in Å.
Atoms (fractional coordinates):
Mn (0.0000, 0.0000, 0.0000)  4 Ge 2.23, 2 Mg 2.42
Ge (0.0000, 0.5000, 0.0000)  2 Mn 2.23
Ge (0.5000, 0.0000, 0.0000)  2 Mn 2.23
Ag (0.5000, 0.5000, 0.5000)  4 Mg 3.16, 8 Ge 3.29
Mg (0.0000, 0.0000, 0.5000)  2 Mn 2.42

=====

[2]
DFT (meta-GGA SCAN) results for a PBEsol-optimized structure of MnAg3Ge.

Computed properties:
Total magnetic moment, Bohr magnetons per cell: 4.6
Space group: Pm-3m, No. 221
Energy of formation from the pure elements, eV/atom: 0.955
ρ, g cm⁻³: 6.800

abc: 4.7939 4.7939 4.7939
angles: 90.00 90.00 90.00
Last column: nearest neighbours and their distance in Å.
Atoms (fractional coordinates):
Ag (0.0000, 0.5000, 0.0000)  2 Mn 2.40
Ag (0.5000, 0.0000, 0.0000)  2 Mn 2.40
Ag (0.0000, 0.0000, 0.5000)  2 Mn 2.40
Mn (0.0000, 0.0000, 0.0000)  6 Ag 2.40
Ge (0.5000, 0.5000, 0.5000)  12 Ag 3.39

=====

[3]
DFT (meta-GGA SCAN) results for a PBEsol-optimized structure of MnAg2GeTe4.

Computed properties:
Total magnetic moment, Bohr magnetons per cell: 4.7
Space group: I-42m, No. 121
ρ, g cm⁻³: 5.973
E, eV per atom: -31.311

abc: 6.1426 6.1426 7.6445
angles: 113.69 113.69 90.00
Last column: nearest neighbours and their distance in Å.
Atoms (fractional coordinates):
Ge (0.5000, 0.5000, 0.0000)  4 Te 2.67
Ag (0.2500, 0.7500, 0.5000)  4 Te 2.71
Ag (0.7500, 0.2500, 0.5000)  4 Te 2.71
Te (0.8729, 0.8729, 0.2418)  1 Mn 2.64, 1 Ge 2.67, 2 Ag 2.71
Te (0.6310, 0.1271, 0.7582)  1 Mn 2.64, 1 Ge 2.67, 2 Ag 2.71
Te (0.1271, 0.6310, 0.7582)  1 Mn 2.64, 1 Ge 2.67, 2 Ag 2.71
Te (0.3690, 0.3690, 0.2418)  1 Mn 2.64, 1 Ge 2.67, 2 Ag 2.71
Mn (0.0000, 0.0000, 0.0000)  4 Te 2.64

=====

[4]
DFT (meta-GGA SCAN) results for a PBEsol-optimized structure of AgGeMo3.

Computed properties:
Total magnetic moment, Bohr magnetons per cell: 0.0
Space group: Pm-3m, No. 221
Energy of formation from the pure elements, eV/atom: 2.573
ρ, g cm⁻³: 7.436

abc: 4.7114 4.7114 4.7114
angles: 90.00 90.00 90.00
Last column: nearest neighbours and their distance in Å.
Atoms (fractional coordinates):
Mo (0.0000, 0.5000, 0.0000)  2 Ag 2.36
Mo (0.5000, 0.0000, 0.0000)  2 Ag 2.36
Mo (0.0000, 0.0000, 0.5000)  2 Ag 2.36
Ag (0.0000, 0.0000, 0.0000)  6 Mo 2.36
Ge (0.5000, 0.5000, 0.5000)  12 Mo 3.33

=====

Question: Which of these has the lowest ρ?
Answer: MgMnAgGe2